No. 1
{"formula": "CaSNO2", "functional": "SCAN", "state": "PBEsol geometry", "cell": [[3.851, 0.000, 0.000], [0.000, 3.851, 0.000], [0.000, 0.000, 3.406]], "species": ["Ca", "S", "N", "O", "O"], "frac_coords": [[0.000, 0.000, 0.000], [0.500, 0.500, 0.500], [0.500, 0.500, 0.000], [0.000, 0.500, 0.500], [0.500, 0.000, 0.500]]}

***

No. 2
{"formula": "CaSeN2O", "functional": "SCAN", "state": "PBEsol geometry", "cell": [[3.736, 0.000, 0.000], [0.000, 3.736, 0.000], [0.000, 0.000, 4.022]], "species": ["Ca", "Se", "N", "N", "O"], "frac_coords": [[0.000, 0.000, 0.000], [0.500, 0.500, 0.500], [0.000, 0.500, 0.500], [0.500, 0.000, 0.500], [0.500, 0.500, 0.000]]}

***

No. 3
{"formula": "Ca6Sn2NO", "functional": "SCAN", "state": "PBEsol geometry", "cell": [[0.000, 4.810, 4.810], [4.810, 0.000, 4.810], [4.810, 4.810, 0.000]], "species": ["Ca", "Ca", "Ca", "Ca", "Ca", "Ca", "Sn", "Sn", "N", "O"], "frac_coords": [[0.248, 0.248, 0.752], [0.248, 0.752, 0.248], [0.248, 0.752, 0.752], [0.752, 0.248, 0.248], [0.752, 0.248, 0.752], [0.752, 0.752, 0.248], [0.250, 0.250, 0.250], [0.750, 0.750, 0.750], [0.000, 0.000, 0.000], [0.500, 0.500, 0.500]]}

***

No. 4
{"formula": "SrCaNO2", "functional": "SCAN", "state": "PBEsol geometry", "cell": [[4.349, 0.000, 0.000], [0.000, 4.349, 0.000], [0.000, 0.000, 4.406]], "species": ["Sr", "Ca", "N", "O", "O"], "frac_coords": [[0.000, 0.000, 0.000], [0.500, 0.500, 0.500], [0.500, 0.500, 0.000], [0.000, 0.500, 0.500], [0.500, 0.000, 0.500]]}

***

No. 5
{"formula": "Ca16Zr9Ta7N7O41", "functional": "SCAN", "state": "PBEsol geometry", "cell": [[5.539, 0.000, 0.000], [0.009, 5.689, 0.000], [0.018, 0.000, 31.872]], "species": ["Ca", "Ca", "Ca", "Ca", "Ca", "Ca", "Ca", "Ca", "Ca", "Ca", "Ca", "Ca", "Ca", "Ca", "Ca", "Ca", "Zr", "Zr", "Zr", "Zr", "Zr", "Zr", "Zr", "Zr", "Zr", "Ta", "Ta", "Ta", "Ta", "Ta", "Ta", "Ta", "N", "N", "N", "N", "N", "N", "N", "O", "O", "O", "O", "O", "O", "O", "O", "O", "O", "O", "O", "O", "O", "O", "O", "O", "O", "O", "O", "O", "O", "O", "O", "O", "O", "O", "O", "O", "O", "O", "O", "O", "O", "O", "O", "O", "O", "O", "O", "O"], "frac_coords": [[0.000, 0.000, 0.000], [0.000, 0.001, 0.750], [0.003, 0.005, 0.251], [0.480, 0.493, 0.503], [0.483, 0.492, 0.751], [0.489, 0.493, 0.251], [0.493, 0.492, 0.999], [0.497, 0.588, 0.630], [0.499, 0.589, 0.378], [0.506, 0.589, 0.880], [0.506, 0.590, 0.126], [0.982, 0.096, 0.879], [0.984, 0.096, 0.127], [0.989, 0.103, 0.378], [0.992, 0.093, 0.631], [0.994, 0.021, 0.504], [0.000, 0.553, 0.190], [0.491, 0.046, 0.816], [0.491, 0.046, 0.938], [0.492, 0.046, 0.065], [0.494, 0.046, 0.438], [0.494, 0.049, 0.188], [0.495, 0.049, 0.568], [0.495, 0.049, 0.690], [0.496, 0.048, 0.316], [0.000, 0.547, 0.063], [0.005, 0.538, 0.691], [0.012, 0.557, 0.940], [0.991, 0.554, 0.444], [0.993, 0.557, 0.563], [0.994, 0.550, 0.814], [0.999, 0.553, 0.315], [0.190, 0.265, 0.703], [0.288, 0.739, 0.952], [0.395, 0.019, 0.876], [0.397, 0.009, 0.126], [0.402, 0.017, 0.377], [0.405, 0.010, 0.628], [0.910, 0.577, 0.503], [0.078, 0.530, 0.628], [0.083, 0.517, 0.876], [0.087, 0.520, 0.375], [0.091, 0.516, 0.124], [0.180, 0.254, 0.952], [0.187, 0.256, 0.050], [0.188, 0.264, 0.801], [0.190, 0.258, 0.451], [0.190, 0.262, 0.301], [0.194, 0.268, 0.553], [0.195, 0.254, 0.204], [0.286, 0.741, 0.801], [0.288, 0.746, 0.704], [0.292, 0.735, 0.050], [0.295, 0.740, 0.302], [0.296, 0.742, 0.552], [0.301, 0.732, 0.451], [0.304, 0.746, 0.205], [0.593, 0.092, 0.502], [0.600, 0.089, 0.002], [0.602, 0.092, 0.753], [0.604, 0.094, 0.253], [0.694, 0.362, 0.177], [0.700, 0.367, 0.679], [0.701, 0.354, 0.928], [0.704, 0.367, 0.577], [0.705, 0.359, 0.826], [0.707, 0.361, 0.326], [0.709, 0.354, 0.076], [0.712, 0.356, 0.427], [0.801, 0.835, 0.928], [0.809, 0.840, 0.827], [0.810, 0.837, 0.075], [0.814, 0.852, 0.681], [0.815, 0.847, 0.326], [0.816, 0.845, 0.428], [0.816, 0.861, 0.178], [0.823, 0.857, 0.575], [0.900, 0.582, 0.754], [0.902, 0.586, 0.254], [0.903, 0.577, 0.002]]}

***

No. 6
{"formula": "CaTlNO2", "functional": "SCAN", "state": "PBEsol geometry", "cell": [[4.254, 0.000, 0.000], [0.000, 4.254, 0.000], [0.000, 0.000, 4.152]], "species": ["Ca", "Tl", "N", "O", "O"], "frac_coords": [[0.000, 0.000, 0.000], [0.500, 0.500, 0.500], [0.500, 0.500, 0.000], [0.000, 0.500, 0.500], [0.500, 0.000, 0.500]]}

***

No. 7
{"formula": "CaWN2O", "functional": "SCAN", "state": "PBEsol geometry", "cell": [[4.044, 0.000, 0.000], [0.000, 4.044, 0.000], [0.000, 0.000, 4.007]], "species": ["Ca", "W", "N", "N", "O"], "frac_coords": [[0.000, 0.000, 0.000], [0.500, 0.500, 0.500], [0.000, 0.500, 0.000], [0.500, 0.000, 0.000], [0.000, 0.000, 0.500]]}

***

No. 8
{"formula": "Ca2OsN3", "functional": "SCAN", "state": "PBEsol geometry", "cell": [[2.717, -5.330, 0.000], [2.717, 5.330, 0.000], [0.000, 0.000, 11.906]], "species": ["Ca", "Ca", "Ca", "Ca", "Ca", "Ca", "Ca", "Ca", "Os", "Os", "Os", "Os", "N", "N", "N", "N", "N", "N", "N", "N", "N", "N", "N", "N"], "frac_coords": [[0.046, 0.954, 0.856], [0.136, 0.864, 0.426], [0.364, 0.636, 0.926], [0.454, 0.546, 0.356], [0.546, 0.454, 0.644], [0.636, 0.364, 0.074], [0.864, 0.136, 0.574], [0.954, 0.046, 0.144], [0.249, 0.751, 0.656], [0.251, 0.749, 0.156], [0.749, 0.251, 0.844], [0.751, 0.249, 0.344], [0.059, 0.441, 0.750], [0.073, 0.927, 0.637], [0.155, 0.845, 0.025], [0.345, 0.655, 0.525], [0.427, 0.573, 0.137], [0.441, 0.059, 0.250], [0.559, 0.941, 0.750], [0.573, 0.427, 0.863], [0.655, 0.345, 0.475], [0.845, 0.155, 0.975], [0.927, 0.073, 0.363], [0.941, 0.559, 0.250]]}

***

No. 9
{"formula": "Ca7OsN6", "functional": "SCAN", "state": "PBEsol geometry", "cell": [[10.927, 0.000, 0.000], [0.000, 6.198, 0.000], [0.000, 0.000, 13.213]], "species": ["Ca", "Ca", "Ca", "Ca", "Ca", "Ca", "Ca", "Ca", "Ca", "Ca", "Ca", "Ca", "Ca", "Ca", "Ca", "Ca", "Ca", "Ca", "Ca", "Ca", "Ca", "Ca", "Ca", "Ca", "Ca", "Ca", "Ca", "Ca", "Os", "Os", "Os", "Os", "N", "N", "N", "N", "N", "N", "N", "N", "N", "N", "N", "N", "N", "N", "N", "N", "N", "N", "N", "N", "N", "N", "N", "N"], "frac_coords": [[0.000, 0.070, 0.250], [0.000, 0.930, 0.750], [0.036, 0.228, 0.520], [0.036, 0.772, 0.020], [0.209, 0.399, 0.110], [0.209, 0.601, 0.610], [0.223, 0.369, 0.871], [0.223, 0.631, 0.371], [0.277, 0.131, 0.371], [0.277, 0.869, 0.871], [0.291, 0.101, 0.610], [0.291, 0.899, 0.110], [0.464, 0.272, 0.020], [0.464, 0.728, 0.520], [0.500, 0.430, 0.750], [0.500, 0.570, 0.250], [0.536, 0.272, 0.480], [0.536, 0.728, 0.980], [0.709, 0.101, 0.890], [0.709, 0.899, 0.390], [0.723, 0.131, 0.129], [0.723, 0.869, 0.629], [0.777, 0.369, 0.629], [0.777, 0.631, 0.129], [0.791, 0.399, 0.390], [0.791, 0.601, 0.890], [0.964, 0.228, 0.980], [0.964, 0.772, 0.480], [0.000, 0.421, 0.750], [0.000, 0.579, 0.250], [0.500, 0.079, 0.250], [0.500, 0.921, 0.750], [0.031, 0.402, 0.365], [0.031, 0.598, 0.865], [0.131, 0.240, 0.701], [0.131, 0.760, 0.201], [0.168, 0.096, 0.988], [0.168, 0.904, 0.488], [0.332, 0.404, 0.488], [0.332, 0.596, 0.988], [0.369, 0.260, 0.201], [0.369, 0.740, 0.701], [0.469, 0.098, 0.865], [0.469, 0.902, 0.365], [0.531, 0.098, 0.635], [0.531, 0.902, 0.135], [0.631, 0.260, 0.299], [0.631, 0.740, 0.799], [0.668, 0.404, 0.012], [0.668, 0.596, 0.512], [0.832, 0.096, 0.512], [0.832, 0.904, 0.012], [0.869, 0.240, 0.799], [0.869, 0.760, 0.299], [0.969, 0.402, 0.135], [0.969, 0.598, 0.635]]}

***

No. 10
{"formula": "CaOsSN2", "functional": "SCAN", "state": "PBEsol geometry", "cell": [[3.986, 0.000, 0.000], [0.000, 3.986, 0.000], [0.000, 0.000, 5.268]], "species": ["Ca", "Os", "S", "N", "N"], "frac_coords": [[0.000, 0.000, 0.000], [0.500, 0.500, 0.500], [0.000, 0.000, 0.500], [0.000, 0.500, 0.000], [0.500, 0.000, 0.000]]}

***

No. 11
{"formula": "Ca2PN3", "functional": "SCAN", "state": "PBEsol geometry", "cell": [[2.588, -5.134, 0.000], [2.588, 5.134, 0.000], [0.000, 0.000, 11.197]], "species": ["Ca", "Ca", "Ca", "Ca", "Ca", "Ca", "Ca", "Ca", "P", "P", "P", "P", "N", "N", "N", "N", "N", "N", "N", "N", "N", "N", "N", "N"], "frac_coords": [[0.052, 0.948, 0.858], [0.138, 0.862, 0.426], [0.362, 0.638, 0.926], [0.448, 0.552, 0.358], [0.552, 0.448, 0.642], [0.638, 0.362, 0.074], [0.862, 0.138, 0.574], [0.948, 0.052, 0.142], [0.245, 0.755, 0.665], [0.255, 0.745, 0.165], [0.745, 0.255, 0.835], [0.755, 0.245, 0.335], [0.040, 0.460, 0.750], [0.088, 0.912, 0.640], [0.160, 0.840, 0.049], [0.340, 0.660, 0.549], [0.412, 0.588, 0.140], [0.460, 0.040, 0.250], [0.540, 0.960, 0.750], [0.588, 0.412, 0.860], [0.660, 0.340, 0.451], [0.840, 0.160, 0.951], [0.912, 0.088, 0.360], [0.960, 0.540, 0.250]]}

***

No. 12
{"formula": "CaPSeN2", "functional": "SCAN", "state": "PBEsol geometry", "cell": [[4.360, 0.000, 0.000], [0.000, 4.360, 0.000], [0.000, 0.000, 5.695]], "species": ["Ca", "P", "Se", "N", "N"], "frac_coords": [[0.000, 0.000, 0.000], [0.500, 0.500, 0.500], [0.000, 0.000, 0.500], [0.000, 0.500, 0.000], [0.500, 0.000, 0.000]]}

***

It is found that the formation energy from raw total energies values, taken in the order of the records, are -0.72; -0.03; -1.38; -1.08; -3.16; -0.29; 1.73; -0.55; -0.79; 2.35; -1.40; 1.49 eV/atom.